A plane-wave DFT calculation with GGA-PBE was carried out for an optimized crystal structure of Tb2Ga13.

Cell: 7.252 7.252 8.309 Å, 64.13 64.13 60.00°
Atoms (fractional coordinates):
Ga1 0.000 0.648 0.352
Ga2 0.760 0.350 0.131
Ga3 0.000 0.000 0.352
Ga4 0.240 0.240 0.869
Ga5 0.352 0.000 0.648
Ga6 0.000 0.352 0.648
Ga7 0.648 0.000 0.352
Ga8 0.240 0.650 0.869
Ga9 0.000 0.000 0.648
Ga10 0.500 0.500 0.500
Ga11 0.650 0.240 0.869
Ga12 0.350 0.760 0.131
Ga13 0.760 0.760 0.131
Tb1 0.735 0.735 0.796
Tb2 0.265 0.265 0.204

Values from the calculation:
As for the symmetry: R-3m, No. 166. For the calculated volume, the calculation gives 326.9 Å³/cell. As for the density of states at the Fermi level: 0.408 states/eV/atom. As for the magnetic moment: 0.0 μB/cell. As for the formation energy: -0.13 eV/atom.

=====

A plane-wave DFT calculation with GGA-PBE was carried out for an optimized crystal structure of EuInPt.

Cell: 3.546 3.546 6.165 Å, 106.72 106.72 90.00°
Each line ends with the local moment (μB).
Atoms (fractional coordinates):
Pt1 0.267 0.267 0.533  0.01
Eu1 0.937 0.937 0.873  -6.84
In1 0.647 0.647 0.293  -0.01

Values from the calculation:
As for the symmetry: I4mm, No. 107. For the calculated volume, the calculation gives 70.8 Å³/cell. As for the density of states at the Fermi level: 2.262 states/eV/atom. As for the magnetic moment: 7.1 μB/cell. As for the formation energy: -0.64 eV/atom.

=====

A plane-wave DFT calculation with GGA-PBE was carried out for an optimized crystal structure of Tb3Sm4DyTe8.

Cell: 8.784 8.842 8.783 Å, 119.77 120.00 90.00°
Atoms (fractional coordinates):
Tb1 0.000 0.500 0.500
Tb2 0.500 0.500 0.500
Tb3 0.500 0.500 0.000
Te1 0.252 0.256 0.504
Te2 0.247 0.743 0.996
Te3 0.753 0.257 0.004
Te4 0.247 0.743 0.495
Te5 0.749 0.743 0.996
Te6 0.748 0.744 0.496
Te7 0.251 0.257 0.004
Te8 0.753 0.257 0.505
Sm1 0.500 0.000 0.500
Sm2 0.500 0.000 0.000
Sm3 0.000 0.000 0.500
Sm4 0.000 0.000 0.000
Dy1 0.000 0.500 0.000

Values from the calculation:
As for the symmetry: R-3m, No. 166. For the calculated volume, the calculation gives 484.0 Å³/cell. The total energy comes out at -5.246 eV per atom. As for the density of states at the Fermi level: 0.760 states/eV/atom. As for the magnetic moment: 0.0 μB/cell.

=====

A plane-wave DFT calculation with GGA-PBE was carried out for an optimized crystal structure of BaLiIr2.

Cell: 3.257 3.257 7.362 Å, 90.00 90.00 90.00°
Each line ends with the local moment (μB).
Atoms (fractional coordinates):
Ba1 0.500 0.500 0.750  0.00
Ir1 0.000 0.000 0.079  0.54
Ir2 0.000 0.000 0.421  0.54
Li1 0.500 0.500 0.250  -0.01

Values from the calculation:
As for the symmetry: P4/mmm, No. 123. For the calculated volume, the calculation gives 78.1 Å³/cell. As for the density of states at the Fermi level: 1.046 states/eV/atom. As for the magnetic moment: 1.1 μB/cell. As for the formation energy: 0.46 eV/atom.

=====

A plane-wave DFT calculation with GGA-PBE was carried out for an optimized crystal structure of AcTmCu2Te4.

Cell: 7.297 6.890 6.890 Å, 70.00 58.03 58.03°
Atoms (fractional coordinates):
Te1 0.454 0.097 0.508
Te2 0.059 0.903 0.492
Te3 0.546 0.492 0.903
Te4 0.941 0.508 0.097
Cu1 0.145 0.355 0.355
Cu2 0.855 0.645 0.645
Tm1 0.500 0.500 0.500
Ac1 0.000 0.000 0.000

Values from the calculation:
As for the symmetry: I222, No. 23. For the calculated volume, the calculation gives 248.3 Å³/cell. The total energy comes out at -4.448 eV per atom. As for the magnetic moment: 0.0 μB/cell.

=====

A plane-wave DFT calculation with GGA-PBE was carried out for an optimized crystal structure of CsLiPS2.

Cell: 4.970 4.970 4.728 Å, 90.00 90.00 90.00°
Atoms (fractional coordinates):
S1 0.000 0.500 0.000
S2 0.500 0.000 0.000
Li1 0.000 0.000 0.000
Cs1 0.500 0.500 0.500
P1 0.000 0.000 0.500

Values from the calculation:
As for the symmetry: P4/mmm, No. 123. For the calculated volume, the calculation gives 116.8 Å³/cell. The total energy comes out at -3.098 eV per atom. As for the density of states at the Fermi level: 0.964 states/eV/atom. As for the magnetic moment: 0.0 μB/cell.

=====

A plane-wave DFT calculation with GGA-PBE was carried out for an optimized crystal structure of La6GaCo2.

Cell: 5.366 6.839 9.569 Å, 124.78 90.00 113.10°
Atoms (fractional coordinates):
Co1 0.716 0.433 0.810
Co2 0.284 0.567 0.190
La1 0.368 0.736 0.509
La2 0.996 0.992 0.834
La3 0.711 0.421 0.125
La4 0.632 0.264 0.491
La5 0.289 0.579 0.875
La6 0.004 0.008 0.166
Ga1 0.000 0.000 0.500

Values from the calculation:
As for the symmetry: C2/m, No. 12. For the calculated volume, the calculation gives 253.4 Å³/cell. As for the density of states at the Fermi level: 1.041 states/eV/atom. As for the magnetic moment: 0.0 μB/cell. As for the formation energy: -0.12 eV/atom.

=====

A plane-wave DFT calculation with GGA-PBE was carried out for an optimized crystal structure of In2IrPdI.

Cell: 6.303 4.959 6.303 Å, 90.00 90.00 90.00°
Each line ends with the local moment (μB).
Atoms (fractional coordinates):
I1 0.000 0.000 0.000  0.01
Ir1 0.500 0.500 0.500  1.92
In1 0.000 0.000 0.500  -0.01
In2 0.500 0.000 0.000  -0.01
Pd1 0.000 0.500 0.000  0.03

Values from the calculation:
As for the symmetry: P4/mmm, No. 123. For the calculated volume, the calculation gives 197.0 Å³/cell. The total energy comes out at -2.830 eV per atom. As for the density of states at the Fermi level: 0.023 states/eV/atom. As for the magnetic moment: 2.0 μB/cell.

=====

A plane-wave DFT calculation with GGA-PBE was carried out for an optimized crystal structure of BRh2O.

Cell: 3.880 3.880 3.880 Å, 60.00 60.00 60.00°
Atoms (fractional coordinates):
Rh1 0.750 0.750 0.750
Rh2 0.250 0.250 0.250
B1 0.000 0.000 0.000
O1 0.500 0.500 0.500

Values from the calculation:
As for the symmetry: Fm-3m, No. 225. For the calculated volume, the calculation gives 41.3 Å³/cell. The total energy comes out at -6.293 eV per atom. As for the density of states at the Fermi level: 1.091 states/eV/atom. As for the magnetic moment: 0.0 μB/cell.

=====

A plane-wave DFT calculation with GGA-PBE was carried out for an optimized crystal structure of TeMo3.

Cell: 5.751 5.751 4.499 Å, 90.00 90.00 103.89°
Atoms (fractional coordinates):
Te1 0.358 0.642 0.250
Te2 0.642 0.358 0.750
Mo1 0.832 0.168 0.250
Mo2 0.168 0.832 0.750
Mo3 0.718 0.880 0.750
Mo4 0.282 0.120 0.250
Mo5 0.120 0.282 0.750
Mo6 0.880 0.718 0.250

Values from the calculation:
As for the symmetry: Cmcm, No. 63. For the calculated volume, the calculation gives 144.5 Å³/cell. The total energy comes out at -8.499 eV per atom. As for the density of states at the Fermi level: 0.661 states/eV/atom. As for the magnetic moment: 0.0 μB/cell.

=====

A plane-wave DFT calculation with GGA-PBE was carried out for an optimized crystal structure of BaEuHo.

Cell: 3.884 3.884 9.631 Å, 90.00 90.00 120.00°
Each line ends with the local moment (μB).
Atoms (fractional coordinates):
Eu1 0.333 0.667 0.644  -7.02
Ho1 0.667 0.333 0.345  -0.19
Ba1 0.000 0.000 0.011  0.01

Values from the calculation:
As for the symmetry: P3m1, No. 156. For the calculated volume, the calculation gives 125.8 Å³/cell. As for the density of states at the Fermi level: 2.199 states/eV/atom. As for the magnetic moment: 7.8 μB/cell. As for the formation energy: 0.18 eV/atom.

=====

A plane-wave DFT calculation with GGA-PBE was carried out for an optimized crystal structure of KBSCl2.

Cell: 5.397 5.397 3.605 Å, 90.00 90.00 90.00°
Atoms (fractional coordinates):
Cl1 0.000 0.500 0.000
Cl2 0.500 0.000 0.000
B1 0.000 0.000 0.000
S1 0.000 0.000 0.500
K1 0.500 0.500 0.500

Values from the calculation:
As for the symmetry: P4/mmm, No. 123. For the calculated volume, the calculation gives 105.0 Å³/cell. The total energy comes out at -3.470 eV per atom. As for the density of states at the Fermi level: 0.213 states/eV/atom. As for the magnetic moment: 0.0 μB/cell.

=====

Number 4 is which compound? BaLiIr2